Entry 1:
Here is a crystal of HRh3Se relaxed with PBEsol from Alexandria via LeMat-Bulk. Energies are from SCAN.

## Properties
**Volume**: 90 Å³ per cell
**Space group**: Pm-3m, No. 221
**Density of states at the Fermi level**: 4.39 states/eV per cell
**Final energy**: -1.746 Ry/atom

Geometry as extended XYZ:
```
5
Lattice="4.482 0.000 0.000 0.000 4.482 0.000 0.000 0.000 4.482" Properties=species:S:1:pos:R:3 pbc="T T T"
Rh 2.241 0.000 0.000
Rh 0.000 0.000 2.241
Rh 0.000 2.241 0.000
H 2.241 2.241 2.241
Se 0.000 0.000 0.000
```

Entry 2:
Here is a crystal of NbCoSb2 relaxed with PBEsol from Alexandria via LeMat-Bulk. Energies are from SCAN.

## Properties
**Volume**: 154 Å³ per cell
**Space group**: I-42d, No. 122
**Density of states at the Fermi level**: 5.59 states/eV per cell
**Final energy**: -2.265 Ry/atom

Geometry as extended XYZ:
```
8
Lattice="5.874 -0.024 0.000 -2.590 5.272 0.000 -1.642 -2.624 4.992" Properties=species:S:1:pos:R:3 pbc="T T T"
Sb -2.319 0.538 4.747
Sb 3.140 0.774 0.245
Sb 0.618 0.526 2.741
Sb 1.845 3.410 2.251
Co 1.642 2.624 0.000
Co 2.937 -0.012 2.496
Nb 0.000 0.000 0.000
Nb -1.295 2.636 2.496
```

Entry 3:
Here is a crystal of NaCaCd2 relaxed with PBEsol from Alexandria via LeMat-Bulk. Energies are from SCAN.

## Properties
**Volume**: 103 Å³ per cell
**Space group**: Fm-3m, No. 225
**Density of states at the Fermi level**: 2.58 states/eV per cell
**Final energy**: -1.389 Ry/atom
**Energy relative to the elements**: -21.3 kJ per mole of atoms

Geometry as extended XYZ:
```
4
Lattice="-0.820 4.056 3.245 -4.806 2.089 0.436 -2.774 -0.684 4.415" Properties=species:S:1:pos:R:3 pbc="T T T"
Na 0.000 0.000 0.000
Cd -2.100 1.365 2.024
Cd -6.300 4.095 6.072
Ca -4.200 2.730 4.048
```

Entry 4:
Here is a crystal of YZrBr2 relaxed with PBEsol from Alexandria via LeMat-Bulk. Energies are from SCAN.

## Properties
**Volume**: 94 Å³ per cell
**Energy above the most stable polymorph in this dataset**: 0.030 eV per atom
**Space group**: P2/m, No. 10
**Density of states at the Fermi level**: 2.35 states/eV per cell
**Final energy**: -1.845 Ry/atom

Geometry as extended XYZ:
```
4
Lattice="-0.691 3.021 1.540 -2.909 -2.144 2.902 4.470 -1.112 3.659" Properties=species:S:1:pos:R:3 pbc="T T T"
Zr -1.454 -1.072 1.451
Y 0.435 -0.117 4.050
Br 0.952 0.311 1.184
Br 2.826 1.599 4.014
```

Entry 5:
Here is a crystal of LaZrTe relaxed with PBEsol from Alexandria via LeMat-Bulk. Energies are from SCAN.

## Properties
**Volume**: 82 Å³ per cell
**Space group**: F-43m, No. 216
**Density of states at the Fermi level**: 3.13 states/eV per cell
**Final energy**: -2.729 Ry/atom

Geometry as extended XYZ:
```
3
Lattice="4.885 0.000 0.000 2.442 4.230 0.000 2.442 1.410 3.989" Properties=species:S:1:pos:R:3 pbc="T T T"
La 0.000 0.000 0.000
Te 4.885 2.820 1.994
Zr 2.442 1.410 0.997
```

Entry 6:
Here is a crystal of SrTl2Te relaxed with PBEsol from Alexandria via LeMat-Bulk. Energies are from SCAN.

## Properties
**Volume**: 125 Å³ per cell
**Energy above the most stable polymorph in this dataset**: 0.000 eV per atom
**Space group**: P2/m, No. 10
**Density of states at the Fermi level**: 1.13 states/eV per cell
**Final energy**: -3.805 Ry/atom

Geometry as extended XYZ:
```
4
Lattice="4.254 0.000 0.000 0.000 5.017 0.062 0.000 -1.459 5.831" Properties=species:S:1:pos:R:3 pbc="T T T"
Tl 2.127 2.508 0.031
Tl 0.000 0.000 0.000
Sr 2.127 -0.730 2.916
Te 0.000 1.779 2.947
```

Entry 7:
Here is a crystal of HgTeBr2 relaxed with PBEsol from Alexandria via LeMat-Bulk. Energies are from SCAN.

## Properties
**Volume**: 120 Å³ per cell
**Energy above the most stable polymorph in this dataset**: 0.000 eV per atom
**Space group**: Immm, No. 71
**Density of states at the Fermi level**: 0.27 states/eV per cell
**Final energy**: -2.659 Ry/atom

Geometry as extended XYZ:
```
4
Lattice="-2.673 -1.706 -2.286 -3.596 -3.441 3.430 -5.415 2.426 1.180" Properties=species:S:1:pos:R:3 pbc="T T T"
Br -4.504 -1.506 -0.294
Br -7.180 -1.215 2.618
Hg -1.337 -0.853 -1.143
Te -4.505 -0.507 2.305
```

Entry 8:
Here is a crystal of Ca3Ti8S16 relaxed with PBEsol from Alexandria via LeMat-Bulk. Energies are from SCAN.

## Properties
**Volume**: 541 Å³ per cell
**Space group**: C2/m, No. 12
**Density of states at the Fermi level**: 13.96 states/eV per cell
**Final energy**: -0.974 Ry/atom

Geometry as extended XYZ:
```
27
Lattice="6.764 -0.002 0.014 3.299 5.905 0.014 0.159 0.093 13.538" Properties=species:S:1:pos:R:3 pbc="T T T"
Ti 1.801 3.075 10.193
Ti 3.563 0.071 10.193
Ti 10.130 5.942 10.182
Ti 0.092 0.054 3.383
Ti 5.118 3.002 10.128
Ti 6.659 5.925 3.372
Ti 5.105 2.994 3.436
Ti 8.422 2.921 3.372
S 5.108 1.005 1.998
S 6.760 3.966 1.952
S 5.114 4.991 11.567
S 8.504 4.988 11.637
S 8.413 4.935 4.834
S 6.852 2.028 11.567
S 5.023 4.939 4.878
S 5.199 1.057 8.687
S 3.386 1.986 4.853
S 6.836 4.010 8.712
S 1.719 1.008 1.928
S 3.370 3.968 1.998
S 3.462 2.031 11.613
S 6.762 1.974 4.878
S 3.460 4.022 8.687
S 1.809 1.061 8.730
Ca 5.032 2.952 0.014
Ca 1.729 2.999 6.776
Ca 3.461 0.046 6.776
```

Entry 9:
Here is a crystal of RbGaCl2 relaxed with PBEsol from Alexandria via LeMat-Bulk. Energies are from SCAN.

## Properties
**Volume**: 328 Å³ per cell
**Space group**: I-42d, No. 122
**Density of states at the Fermi level**: 0.00 states/eV per cell
**Final energy**: -1.067 Ry/atom

Geometry as extended XYZ:
```
8
Lattice="-4.968 2.551 -3.698 -4.149 -0.492 5.235 6.438 5.709 1.354" Properties=species:S:1:pos:R:3 pbc="T T T"
Cl -4.078 3.364 -0.774
Cl -0.690 5.590 1.750
Cl -4.099 2.064 3.372
Cl 3.510 4.518 1.434
Rb -1.135 3.123 3.679
Rb 0.000 0.000 0.000
Ga -4.558 1.030 0.769
Ga -1.544 4.644 -0.788
```

Entry 10:
Here is a crystal of ZnMoSe2N relaxed with PBEsol from Alexandria via LeMat-Bulk. Energies are from SCAN.

## Properties
**Volume**: 93 Å³ per cell
**Space group**: P4/mmm, No. 123
**Density of states at the Fermi level**: 2.12 states/eV per cell
**Final energy**: -1.423 Ry/atom

Geometry as extended XYZ:
```
5
Lattice="-3.105 0.190 2.079 -2.295 -3.136 -3.140 1.583 -3.881 2.719" Properties=species:S:1:pos:R:3 pbc="T T T"
Mo 0.000 0.000 0.000
N -1.552 0.095 1.040
Se 0.791 -1.941 1.359
Se -1.148 -1.568 -1.570
Zn -1.908 -3.413 0.829
```

Entry 11:
Here is a crystal of MnGa4 relaxed with PBEsol from Alexandria via LeMat-Bulk. Energies are from SCAN.

## Properties
**Volume**: 83 Å³ per cell
**Space group**: Im-3m, No. 229
**Density of states at the Fermi level**: 1.24 states/eV per cell
**Final energy**: -1.244 Ry/atom
**Energy relative to the elements**: -18.6 kJ per mole of atoms

Geometry as extended XYZ:
```
5
Lattice="4.766 0.000 0.000 -1.589 4.494 0.000 -1.589 -2.247 3.892" Properties=species:S:1:pos:R:3 pbc="T T T"
Ga -0.794 -1.123 1.946
Ga 2.383 0.000 0.000
Ga -0.794 2.247 0.000
Ga 0.794 1.123 1.946
Mn 0.000 0.000 0.000
```

Entry 12:
Here is a crystal of Sr2ZrHg relaxed with PBEsol from Alexandria via LeMat-Bulk. Energies are from SCAN.

## Properties
**Volume**: 119 Å³ per cell
**Space group**: Cmmm, No. 65
**Density of states at the Fermi level**: 4.18 states/eV per cell
**Final energy**: -2.620 Ry/atom
**Energy relative to the elements**: 19.9 kJ per mole of atoms

Geometry as extended XYZ:
```
4
Lattice="3.546 0.000 0.000 0.000 5.944 -0.059 0.000 -1.839 5.652" Properties=species:S:1:pos:R:3 pbc="T T T"
Sr 0.000 -0.920 2.826
Sr 0.000 2.972 -0.030
Zr 1.773 0.000 0.000
Hg 1.773 2.052 2.796
```

Entry 13:
Here is a crystal of AgHgIr2W relaxed with PBEsol from Alexandria via LeMat-Bulk. Energies are from SCAN.

## Properties
**Volume**: 114 Å³ per cell
**Space group**: P4/mmm, No. 123
**Density of states at the Fermi level**: 4.15 states/eV per cell
**Final energy**: -4.466 Ry/atom
**Energy relative to the elements**: 147.2 kJ per mole of atoms

Geometry as extended XYZ:
```
5
Lattice="4.677 0.000 0.000 0.000 4.677 0.000 0.000 0.000 5.202" Properties=species:S:1:pos:R:3 pbc="T T T"
W 0.000 0.000 0.000
Ir 0.000 2.338 0.000
Ir 2.338 0.000 0.000
Hg 0.000 0.000 2.601
Ag 2.338 2.338 2.601
```